## ScTlMo2 (GGA-PBEsol)

Data for ScTlMo2 after structural relaxation.

Values from the calculation:
ΔH_f (0 K) in eV/atom: 0.364
Final energy in eV/f.u.: -31.32
Symmetry: No. 139
Spin magnetization in μB/atom: 0.0000

POSCAR file:
```
ScTlMo2
1.0
-1.9739 1.9739 4.5881
1.9739 -1.9739 4.5881
1.9739 1.9739 -4.5881
Sc Tl Mo
1 1 2
direct
0.0000 0.0000 0.0000
0.5000 0.5000 0.0000
0.2500 0.7500 0.5000
0.7500 0.2500 0.5000
```